Below is TlRhPb2 after structural relaxation, with properties calculated at the PBE level.

Cell: 10.3289 10.3289 10.3289 Å, 19.04 19.04 19.04°
Atoms (fractional coordinates):
Pb 0.9985 0.9985 0.9985
Tl 0.2338 0.2338 0.2338
Rh 0.5002 0.5002 0.5002
Pb 0.7675 0.7675 0.7675

=====

Below is TlRh2Pb after structural relaxation, with properties calculated at the PBE level.

Cell: 4.8343 4.8343 3.2314 Å, 90.00 90.00 96.62°
Atoms (fractional coordinates):
Tl 0.5000 0.5000 0.5000
Rh 0.5000 0.0000 0.0000
Rh 0.0000 0.5000 0.0000
Pb 0.0000 0.0000 0.5000

=====

Below is TlRh2Pb after structural relaxation, with properties calculated at the PBE level.

Cell: 5.7869 5.7869 5.7869 Å, 140.62 140.62 56.91°
Atoms (fractional coordinates):
Tl 0.5000 0.5000 0.0000
Pb 0.7500 0.2500 0.5000
Rh 0.0000 0.0000 0.0000
Rh 0.2500 0.7500 0.5000

=====

no.,calculated formation energy (eV per atom),magnetic moment (μB per formula unit)
1,0.1107,0.000
2,0.0913,0.000
3,0.1873,0.000